(1)
Below is a relaxed structure of Cr2InW, with properties calculated at the PBE level.

Cell and atoms, written as POSCAR:
```
Cr2InW
1.0
8.601 0.005 0.003
8.086 2.932 0.003
8.086 1.423 2.563
Cr In W
2 1 1
direct
0.491 0.491 0.491
0.009 0.009 0.009
0.250 0.250 0.250
0.750 0.750 0.750
```

Output
total energy: -8.207 eV/atom
N(E_F): 0.700 states/eV/atom
theoretical density: 10.4 Mg/m³
SG: R-3m, No. 166

---

(2)
Below is a relaxed structure of Cr3InW, with properties calculated at the PBE level.

Cell and atoms, written as POSCAR:
```
Cr3InW
1.0
-1.343 -0.689 -4.286
-0.611 -4.411 0.901
-4.297 0.843 1.212
Cr W In
3 1 1
direct
0.000 0.500 0.000
0.000 0.000 0.500
0.500 0.000 0.000
0.500 0.500 0.500
0.000 0.000 0.000
```

Output
polymorph energy (0 for the lowest one): 1290.4 meV/atom
total energy: -6.242 eV/atom
N(E_F): 2.147 states/eV/atom
theoretical density: 8.0 Mg/m³
SG: Pm-3m, No. 221

---

(3)
Below is a relaxed structure of CrIn2W, with properties calculated at the PBE level.

Cell and atoms, written as POSCAR:
```
CrIn2W
1.0
4.675 0.000 0.000
2.337 4.049 0.000
2.337 1.350 3.817
In W Cr
2 1 1
direct
0.000 0.000 0.000
0.250 0.250 0.250
0.750 0.750 0.750
0.500 0.500 0.500
```

Output
polymorph energy (0 for the lowest one): 414.6 meV/atom
total energy: -6.267 eV/atom
N(E_F): 0.871 states/eV/atom
theoretical density: 10.7 Mg/m³
SG: F-43m, No. 216